i:
Entry from the Alexandria database: crystalline CuTcPb2 at its relaxed geometry (GGA-PBE).

Structure (CIF):
```
data_CuTcPb2
_symmetry_space_group_name_H-M 'P 1'
_symmetry_Int_Tables_number 1
_cell_length_a 4.832
_cell_length_b 4.832
_cell_length_c 4.832
_cell_angle_alpha 60.00
_cell_angle_beta 60.00
_cell_angle_gamma 60.00
loop_
_symmetry_equiv_pos_as_xyz
'x,y,z'
loop_
_atom_site_label
_atom_site_type_symbol
_atom_site_fract_x
_atom_site_fract_y
_atom_site_fract_z
_atom_site_occupancy
Cu1 Cu 0.000 0.000 0.000 1
Tc1 Tc 0.500 0.500 0.500 1
Pb1 Pb 0.250 0.250 0.250 1
Pb2 Pb 0.750 0.750 0.750 1
```

Values from the calculation:
Fermi-level density of states in states/eV per cell: 1.7
Calculated volume in Å³/atom: 19.94
Symmetry: No. 225



ii:
Entry from the Alexandria database: crystalline CuTcPb2 at its relaxed geometry (GGA-PBE).

Structure (CIF):
```
data_CuTcPb2
_symmetry_space_group_name_H-M 'P 1'
_symmetry_Int_Tables_number 1
_cell_length_a 4.948
_cell_length_b 4.948
_cell_length_c 4.948
_cell_angle_alpha 60.00
_cell_angle_beta 60.00
_cell_angle_gamma 60.00
loop_
_symmetry_equiv_pos_as_xyz
'x,y,z'
loop_
_atom_site_label
_atom_site_type_symbol
_atom_site_fract_x
_atom_site_fract_y
_atom_site_fract_z
_atom_site_occupancy
Cu1 Cu 0.000 0.000 0.000 1
Tc1 Tc 0.250 0.250 0.250 1
Pb1 Pb 0.500 0.500 0.500 1
Pb2 Pb 0.750 0.750 0.750 1
```

Values from the calculation:
Fermi-level density of states in states/eV per cell: 3.8
Calculated volume in Å³/atom: 21.41
Symmetry: No. 216



iii:
Entry from the Alexandria database: crystalline CuTcPb2 at its relaxed geometry (GGA-PBE).

Structure (CIF):
```
data_CuTcPb2
_symmetry_space_group_name_H-M 'P 1'
_symmetry_Int_Tables_number 1
_cell_length_a 3.353
_cell_length_b 4.848
_cell_length_c 4.882
_cell_angle_alpha 89.93
_cell_angle_beta 89.89
_cell_angle_gamma 89.99
loop_
_symmetry_equiv_pos_as_xyz
'x,y,z'
loop_
_atom_site_label
_atom_site_type_symbol
_atom_site_fract_x
_atom_site_fract_y
_atom_site_fract_z
_atom_site_occupancy
Cu1 Cu 0.000 0.000 0.000 1
Tc1 Tc 0.000 0.500 0.500 1
Pb1 Pb 0.500 0.000 0.500 1
Pb2 Pb 0.500 0.500 0.000 1
```

Values from the calculation:
Fermi-level density of states in states/eV per cell: 3.9
Calculated volume in Å³/atom: 19.84
Symmetry: No. 2



iv:
Entry from the Alexandria database: crystalline CuTcPb2 at its relaxed geometry (GGA-PBE).

Structure (CIF):
```
data_CuTcPb2
_symmetry_space_group_name_H-M 'P 1'
_symmetry_Int_Tables_number 1
_cell_length_a 5.685
_cell_length_b 5.685
_cell_length_c 5.685
_cell_angle_alpha 138.23
_cell_angle_beta 138.23
_cell_angle_gamma 60.55
loop_
_symmetry_equiv_pos_as_xyz
'x,y,z'
loop_
_atom_site_label
_atom_site_type_symbol
_atom_site_fract_x
_atom_site_fract_y
_atom_site_fract_z
_atom_site_occupancy
Cu1 Cu 0.000 0.000 0.000 1
Tc1 Tc 0.750 0.250 0.500 1
Pb1 Pb 0.250 0.750 0.500 1
Pb2 Pb 0.500 0.500 0.000 1
```

Values from the calculation:
Fermi-level density of states in states/eV per cell: 3.4
Calculated volume in Å³/atom: 20.16
Symmetry: No. 119



Pick the least stable structure from those above. Pick: ii